# Nd2CdFeO5 (GGA+U, relaxed)
# * total magnetic moment: 8.003 μB per cell
# * DOS at the Fermi energy: 3.71 states/eV per cell
# * final energy: -0.24624 hartree per atom
data_Nd2CdFeO5
_cell_length_a 6.7277
_cell_length_b 6.7277
_cell_length_c 5.8201
_cell_angle_alpha 90.00
_cell_angle_beta 90.00
_cell_angle_gamma 90.00
_space_group_name_H-M_alt 'P 4/m b m'
_space_group_IT_number 127
_space_group_name_Hall '-P 4 2ab'
loop_
_atom_site_label
_atom_site_fract_x
_atom_site_fract_y
_atom_site_fract_z
Nd1 0.1726 0.3274 0.0000
Cd1 0.0000 0.0000 0.5000
Fe1 0.0000 0.5000 0.5000
O1 0.0000 0.0000 0.0000
O2 0.1418 0.6418 0.2563